Below is a relaxed structure of LaZnTc, with properties calculated at the PBEsol level.

uncorrected energy = -14.69 eV for the cell shown
energy above the most stable polymorph in this dataset = 797 meV/atom

a b c (Å): 4.555 4.555 4.555
angles (deg): 60.00 60.00 60.00
Fractional positions:
La 0.000 0.000 0.000
Zn 0.750 0.750 0.750
Tc 0.250 0.250 0.250

***

Below is a relaxed structure of GePI2O, with properties calculated at the PBEsol level.

uncorrected energy = -18.39 eV for the cell shown
formation energy without anion corrections = 225 meV per atom

a b c (Å): 5.564 5.564 3.651
angles (deg): 90.00 90.00 90.00
Fractional positions:
Ge 0.000 0.000 0.000
P 0.500 0.500 0.500
I 0.000 0.500 0.000
I 0.500 0.000 0.000
O 0.000 0.000 0.500

***

Below is a relaxed structure of RbSrCdC2, with properties calculated at the PBEsol level.

uncorrected energy = -10.91 eV for the cell shown

a b c (Å): 5.259 5.259 5.664
angles (deg): 90.00 90.00 90.00
Fractional positions:
Rb 0.000 0.000 0.000
Sr 0.500 0.500 0.500
Cd 0.000 0.000 0.500
C 0.000 0.500 0.000
C 0.500 0.000 0.000

***

> Which of these has the lowest uncorrected energy?

GePI2O

***

> Which formula does entry 1 have?

LaZnTc

***

Copy entry 1 word for word.
Below is a relaxed structure of LaZnTc, with properties calculated at the PBEsol level.

uncorrected energy = -14.69 eV for the cell shown
energy above the most stable polymorph in this dataset = 797 meV/atom

a b c (Å): 4.555 4.555 4.555
angles (deg): 60.00 60.00 60.00
Fractional positions:
La 0.000 0.000 0.000
Zn 0.750 0.750 0.750
Tc 0.250 0.250 0.250

***

> Among the records above, which one has the lowest uncorrected energy?

GePI2O